# 1
5
Lattice="4.968 0.000 0.000 0.000 4.866 0.000 0.000 0.000 4.968" Properties=species:S:1:pos:R:3 comment="PBE Ge2OsSeI, relaxed" raw_formation_energy_ev_per_fu=1.58 e_tot_ev_per_cell=-23.92 magmom_total_mub_per_atom=0.000 vol_a3_per_cell=120.1 pbc="T T T"
I 2.484 2.433 2.484
Se 0.000 2.433 0.000
Os 0.000 0.000 0.000
Ge 2.484 0.000 0.000
Ge 0.000 0.000 2.484

# 2
5
Lattice="-2.313 0.649 4.830 2.354 -4.174 1.688 4.184 3.006 1.599" Properties=species:S:1:pos:R:3 comment="PBE Hf2ZrSbCl, relaxed" raw_formation_energy_ev_per_fu=5.02 e_tot_ev_per_cell=-29.41 magmom_total_mub_per_atom=0.000 vol_a3_per_cell=147.8 pbc="T T T"
Hf -1.156 0.325 2.415
Hf 2.092 1.503 0.800
Cl 1.177 -2.087 0.844
Sb 0.000 0.000 0.000
Zr 2.112 -0.259 4.059

# 3
9
Lattice="4.743 0.000 0.000 0.000 8.943 -0.135 -2.372 -4.593 9.294" Properties=species:S:1:pos:R:3 comment="PBE Cs3In2Sb4, relaxed" raw_formation_energy_ev_per_fu=-3.18 e_tot_ev_per_cell=-27.71 magmom_total_mub_per_atom=0.000 vol_a3_per_cell=391.3 pbc="T T T"
Cs 0.000 3.504 2.694
Cs 0.000 0.000 0.000
Cs 2.372 0.846 6.464
Sb 0.000 -1.482 8.955
Sb 2.372 5.833 0.203
Sb 0.000 -0.583 3.753
Sb 2.372 4.934 5.405
In 2.372 6.710 3.035
In 0.000 -2.359 6.124

# 4
4
Lattice="4.913 -0.001 0.034 3.816 3.095 0.034 1.032 0.366 4.363" Properties=species:S:1:pos:R:3 comment="PBE CuSbMo2, relaxed" raw_formation_energy_ev_per_fu=1.25 e_tot_ev_per_cell=-28.63 magmom_total_mub_per_atom=0.000 vol_a3_per_cell=66.2 pbc="T T T"
Mo 4.880 1.730 2.095
Mo 8.730 3.095 0.188
Sb 7.321 2.595 3.323
Cu 2.440 0.865 1.108

# 5
18
Lattice="-1.684 1.742 2.975 -6.191 0.633 -6.349 -4.719 -10.610 3.543" Properties=species:S:1:pos:R:3 comment="PBE Sr2HfCuS5, relaxed" raw_formation_energy_ev_per_fu=-13.44 e_tot_ev_per_cell=-102.99 magmom_total_mub_per_atom=0.000 vol_a3_per_cell=404.4 pbc="T T T"
S -4.901 0.933 -3.321
S -9.683 -3.458 -0.982
S -7.259 -6.119 -0.526
S -8.324 -1.412 -3.885
S -4.504 -7.348 4.228
S -4.487 -0.211 0.057
S -7.716 -7.809 2.680
S -0.885 -0.221 -0.371
S -5.427 -4.073 1.788
S -6.044 -3.047 -1.637
Cu -8.253 -3.328 -2.723
Cu -6.119 -8.903 4.225
Sr -10.036 -6.752 0.747
Sr -4.878 -6.958 1.314
Sr -7.137 0.026 -1.581
Sr -3.268 -3.081 -0.046
Hf -2.907 0.413 -1.887
Hf -7.497 -3.724 0.411

# 6
5
Lattice="4.562 0.000 0.000 0.000 4.562 0.000 0.000 0.000 4.746" Properties=species:S:1:pos:R:3 comment="PBE Li2LaTeH, relaxed" e_tot_ev_per_cell=-18.53 magmom_total_mub_per_atom=0.000 vol_a3_per_cell=98.8 pbc="T T T"
H 0.000 0.000 0.000
Te 2.281 2.281 2.373
La 0.000 0.000 2.373
Li 0.000 2.281 0.000
Li 2.281 0.000 0.000